FePt4 PBEsol relaxed; M_tot = 3.79 μB/f.u.; space-group type = I4/m, No. 87; calculated total energy = -7.4727 eV/atom
1.0
-1.915 -2.142 2.585
1.280 -4.555 0.063
2.054 -0.183 4.259
Fe Pt
1 4
Cartesian
0.000 0.000 0.000 Fe
1.098 -4.596 2.783 Pt
0.321 -2.284 4.124 Pt
0.897 -4.584 5.534 Pt
0.523 -2.297 1.373 Pt